(1)
Material: Sr2BeIrBr
Method: DFT, PBE
State: relaxed

Summary:
- E_form (uncorrected) (eV per atom) = 0.35
- size of the total moment (μB/f.u.) = 0.000

```
Sr2BeIrBr
1.0
-2.220 -4.785 2.320
4.196 -0.568 2.843
-2.409 3.146 4.184
Sr Ir Br Be
2 1 1 1
Cartesian
-1.110 -2.393 1.160
-1.204 1.573 2.092
0.000 0.000 0.000
2.098 -0.284 1.421
-0.217 -1.104 4.673
```


(2)
Material: Be2TlIrBr
Method: DFT, PBE
State: relaxed

Summary:
- E_form (uncorrected) (eV per atom) = 0.38
- size of the total moment (μB/f.u.) = 0.000

```
Be2TlIrBr
1.0
4.413 0.000 0.000
0.000 5.495 0.000
0.000 0.000 4.413
Be Ir Br Tl
2 1 1 1
Cartesian
0.000 0.000 2.206
2.206 0.000 0.000
0.000 0.000 0.000
0.000 2.747 0.000
2.206 2.747 2.206
```


(3)
Material: YBe2IrBr
Method: DFT, PBE
State: relaxed

Summary:
- E_form (uncorrected) (eV per atom) = 0.06
- size of the total moment (μB/f.u.) = 0.000

```
YBe2IrBr
1.0
4.231 0.000 0.000
0.000 4.231 0.000
0.000 0.000 5.342
Ir Be Br Y
1 2 1 1
Cartesian
0.000 0.000 0.000
2.116 0.000 0.000
0.000 2.116 0.000
0.000 0.000 2.671
2.116 2.116 2.671
```


(4)
Material: BeZnIr2Br
Method: DFT, PBE
State: relaxed

Summary:
- E_form (uncorrected) (eV per atom) = 1.50
- size of the total moment (μB/f.u.) = 0.000

```
BeZnIr2Br
1.0
-0.190 -1.401 -4.554
3.823 0.718 -0.381
0.973 -4.473 1.335
Br Zn Be Ir
1 1 1 2
Cartesian
0.000 0.000 0.000
2.303 -2.577 -1.800
1.912 0.359 -0.190
-0.095 -0.700 -2.277
0.487 -2.236 0.668
```


(5)
Material: KBe2Br
Method: DFT, PBE
State: relaxed

Summary:
- E_form (uncorrected) (eV per atom) = 0.20
- E above lowest polymorph (kJ/mol of formula units) = 3.7
- size of the total moment (μB/f.u.) = 0.000

```
KBe2Br
1.0
-1.714 -3.463 -1.222
2.212 -3.087 -1.417
0.568 -2.531 6.561
Br Be K
1 2 1
Cartesian
0.449 -3.644 2.014
0.268 -2.794 -0.008
0.086 -0.570 0.626
0.796 -6.614 3.250
```


(6)
Material: KBeBr2
Method: DFT, PBE
State: relaxed

Summary:
- E_form (uncorrected) (eV per atom) = 0.09
- E above lowest polymorph (kJ/mol of formula units) = 298.0
- size of the total moment (μB/f.u.) = 0.887

```
KBeBr2
1.0
5.467 0.000 0.000
2.733 4.734 0.000
2.733 1.578 4.464
K Br Be
1 2 1
Cartesian
8.200 4.734 3.348
0.000 0.000 0.000
2.733 1.578 1.116
5.467 3.156 2.232
```


(7)
Material: KBeBr4
Method: DFT, PBE
State: relaxed

Summary:
- E_form (uncorrected) (eV per atom) = 0.31
- size of the total moment (μB/f.u.) = 2.339

```
KBeBr4
1.0
0.000 4.627 4.627
4.627 0.000 4.627
4.627 4.627 0.000
Br K Be
4 1 1
Cartesian
5.789 3.465 5.789
5.789 5.789 3.465
3.465 5.789 5.789
3.465 3.465 3.465
6.940 6.940 6.940
0.000 0.000 0.000
```


(8)
Material: KBeBr2
Method: DFT, PBE
State: relaxed

Summary:
- E_form (uncorrected) (eV per atom) = -0.58
- E above lowest polymorph (kJ/mol of formula units) = 40.7
- size of the total moment (μB/f.u.) = 0.000

```
KBeBr2
1.0
6.599 0.000 0.000
0.000 6.599 0.000
3.300 3.300 6.537
K Be Br
2 2 4
Cartesian
0.000 0.000 0.000
6.599 3.300 3.269
3.300 6.599 3.269
3.300 3.300 0.000
4.188 1.650 1.634
2.411 4.949 1.634
4.949 5.711 4.903
8.249 7.487 4.903
```


(9)
Material: KBeBr2
Method: DFT, PBE
State: relaxed

Summary:
- E_form (uncorrected) (eV per atom) = -0.68
- E above lowest polymorph (kJ/mol of formula units) = 0.0
- size of the total moment (μB/f.u.) = 0.100

```
KBeBr2
1.0
-2.985 -0.401 -6.003
-5.513 -2.575 -2.845
-1.517 4.309 1.753
Br K Be
2 1 1
Cartesian
-7.149 -0.399 -5.995
-0.511 0.433 -0.111
-5.060 1.119 -3.278
-2.303 0.846 -1.260
```


(10)
Material: KBeBr2
Method: DFT, PBE
State: relaxed

Summary:
- E_form (uncorrected) (eV per atom) = -0.42
- E above lowest polymorph (kJ/mol of formula units) = 100.6
- size of the total moment (μB/f.u.) = 0.939

```
KBeBr2
1.0
7.611 -0.003 -0.002
6.397 4.125 -0.002
6.397 1.882 3.670
Be K Br
1 1 2
Cartesian
15.304 4.503 2.750
5.101 1.501 0.917
0.324 0.095 0.058
9.879 2.907 1.775
```


(11)
Material: KBe2Br
Method: DFT, PBE
State: relaxed

Summary:
- E_form (uncorrected) (eV per atom) = 0.20
- E above lowest polymorph (kJ/mol of formula units) = 4.8
- size of the total moment (μB/f.u.) = 0.000

```
KBe2Br
1.0
-5.688 -0.541 -1.194
-3.458 -3.769 -2.812
-0.638 -2.455 4.020
Br K Be
1 1 2
Cartesian
-2.446 -1.691 0.003
-7.337 -5.073 0.010
-0.422 -0.738 0.890
-4.469 -2.644 -0.884
```


(12)
Material: KBe2Br
Method: DFT, PBE
State: relaxed

Summary:
- E_form (uncorrected) (eV per atom) = 0.29
- E above lowest polymorph (kJ/mol of formula units) = 41.0
- size of the total moment (μB/f.u.) = 0.000

```
KBe2Br
1.0
-0.223 4.047 -3.962
1.633 -3.602 -4.060
-4.519 0.517 3.382
K Br Be
1 1 2
Cartesian
-1.095 -1.432 -2.321
0.782 0.247 -4.448
1.177 0.372 -6.699
-1.859 2.444 -3.205
```


(13)
Material: K2BeBr4
Method: DFT, PBE
State: relaxed

Summary:
- E_form (uncorrected) (eV per atom) = -1.47
- E above lowest polymorph (kJ/mol of formula units) = 0.0
- size of the total moment (μB/f.u.) = 0.000

```
K2BeBr4
1.0
1.011 -4.456 -5.474
3.228 -4.778 4.486
-8.279 -1.975 3.855
Br K Be
8 4 2
Cartesian
-3.663 -6.536 -1.351
1.477 -7.439 2.800
-0.076 -5.140 0.641
-5.517 -3.770 0.067
-5.444 -6.109 6.334
-0.377 -4.672 4.218
1.405 -5.099 -3.468
-3.963 -6.069 2.225
-6.824 -4.386 3.214
-1.542 -8.238 1.258
-2.498 -2.970 1.609
2.784 -6.823 -0.347
0.965 -5.302 2.581
-5.004 -5.906 0.286
```


(14)
Material: K2BeBr4
Method: DFT, PBE
State: relaxed

Summary:
- E_form (uncorrected) (eV per atom) = -1.42
- E above lowest polymorph (kJ/mol of formula units) = 34.0
- size of the total moment (μB/f.u.) = 0.000

```
K2BeBr4
1.0
7.708 0.000 0.000
0.000 7.708 0.000
-3.854 -3.854 5.431
Br Be K
4 1 2
Cartesian
5.155 2.552 1.219
1.302 1.302 4.213
2.552 5.155 1.219
-1.302 -1.302 4.213
3.854 3.854 0.000
3.854 0.000 2.716
0.000 3.854 2.716
```


(15)
Material: KBeBr2
Method: DFT, PBE
State: relaxed

Summary:
- E_form (uncorrected) (eV per atom) = -0.68
- E above lowest polymorph (kJ/mol of formula units) = 2.4
- size of the total moment (μB/f.u.) = 0.000

```
KBeBr2
1.0
-4.004 0.704 2.221
-0.233 -4.755 1.087
2.862 -1.289 5.567
Be Br K
1 2 1
Cartesian
-0.022 -5.073 6.398
-0.880 -0.674 3.458
2.318 -5.308 5.860
1.153 -3.353 3.141
```


(16)
Material: KBeBr2
Method: DFT, PBE
State: relaxed

Summary:
- E_form (uncorrected) (eV per atom) = -0.55
- E above lowest polymorph (kJ/mol of formula units) = 52.3
- size of the total moment (μB/f.u.) = 0.271

```
KBeBr2
1.0
4.023 0.000 0.000
0.000 4.023 0.000
0.000 0.000 7.153
Be Br K
1 2 1
Cartesian
2.012 2.012 6.631
0.000 0.000 6.322
2.012 2.012 1.705
0.000 0.000 3.225
```


(17)
Material: KBeBr2
Method: DFT, PBE
State: relaxed

Summary:
- E_form (uncorrected) (eV per atom) = -0.31
- E above lowest polymorph (kJ/mol of formula units) = 143.8
- size of the total moment (μB/f.u.) = 0.000

```
KBeBr2
1.0
-0.873 -3.957 -6.254
-1.550 -1.376 5.425
-4.238 0.055 0.353
Br K Be
2 1 1
Cartesian
0.000 0.000 0.000
-2.555 -1.951 -2.950
-2.894 -0.660 2.889
-1.211 -2.667 -0.414
```


(18)
Material: KBeBr2
Method: DFT, PBE
State: relaxed

Summary:
- E_form (uncorrected) (eV per atom) = -0.40
- E above lowest polymorph (kJ/mol of formula units) = 110.5
- size of the total moment (μB/f.u.) = 0.202

```
KBeBr2
1.0
4.738 -0.030 0.000
-3.484 3.211 0.000
0.000 0.000 10.258
Br K Be
2 1 1
Cartesian
0.000 0.000 6.127
0.000 0.000 9.261
0.627 1.590 2.565
0.627 1.590 7.694
```


(19)
Material: KBeBr2
Method: DFT, PBE
State: relaxed

Summary:
- E_form (uncorrected) (eV per atom) = -0.55
- E above lowest polymorph (kJ/mol of formula units) = 52.1
- size of the total moment (μB/f.u.) = 0.000

```
KBeBr2
1.0
-3.641 0.328 -1.745
2.111 -0.652 -3.395
-1.004 -7.157 0.750
K Be Br
1 1 2
Cartesian
-0.457 -3.260 0.341
-1.697 -6.810 -1.874
-1.001 -1.844 -2.394
-0.884 -6.301 0.660
```


(20)
Material: K4BeBr6
Method: DFT, PBE
State: relaxed

Summary:
- E_form (uncorrected) (eV per atom) = -1.53
- size of the total moment (μB/f.u.) = 0.264

```
K4BeBr6
1.0
-7.372 -0.097 -2.914
-6.381 -2.739 5.450
-6.436 12.822 5.073
K Br Be
8 12 2
Cartesian
-12.784 5.273 7.457
-8.709 1.813 4.843
-4.227 0.260 3.044
-14.414 9.980 7.797
-11.771 9.554 3.455
-15.743 6.715 4.025
-10.750 4.903 1.451
-7.128 1.702 -0.365
-7.341 0.243 2.452
-10.843 4.339 4.765
-11.098 7.975 0.789
-11.726 1.161 3.321
-14.061 11.846 2.534
-7.250 5.164 0.638
-16.418 10.169 4.810
-2.771 2.877 2.056
-10.218 12.128 4.835
-13.833 4.067 2.802
-8.515 8.984 4.413
-13.230 7.865 5.716
-12.556 3.005 4.256
-8.590 10.838 5.646
```


(21)
Material: K4BeBr
Method: DFT, PBE
State: relaxed

Summary:
- E_form (uncorrected) (eV per atom) = 0.30
- size of the total moment (μB/f.u.) = 0.000

```
K4BeBr
1.0
0.000 5.467 5.467
5.467 0.000 5.467
5.467 5.467 0.000
Br K Be
1 4 1
Cartesian
0.000 0.000 0.000
4.096 4.096 4.096
6.837 6.837 4.096
4.096 6.837 6.837
6.837 4.096 6.837
8.200 8.200 8.200
```


(22)
Material: KBeBr2
Method: DFT, PBE
State: relaxed

Summary:
- E_form (uncorrected) (eV per atom) = -0.53
- E above lowest polymorph (kJ/mol of formula units) = 59.9
- size of the total moment (μB/f.u.) = 0.796

```
KBeBr2
1.0
0.754 -5.020 6.448
4.683 -2.106 6.401
0.436 -0.457 8.182
Br Be K
2 1 1
Cartesian
0.536 -0.693 1.921
5.336 -6.890 19.111
0.000 0.000 0.000
2.936 -3.792 10.516
```


(23)
Material: KBe2Br
Method: DFT, PBE
State: relaxed

Summary:
- E_form (uncorrected) (eV per atom) = 0.81
- E above lowest polymorph (kJ/mol of formula units) = 241.9
- size of the total moment (μB/f.u.) = 0.000

```
KBe2Br
1.0
9.141 0.015 0.009
8.460 3.463 0.009
8.460 1.671 3.033
Br K Be
1 1 2
Cartesian
6.515 1.287 0.763
19.546 3.862 2.288
13.514 2.670 1.582
25.578 5.053 2.994
```


(24)
Material: KBe2Br
Method: DFT, PBE
State: relaxed

Summary:
- E_form (uncorrected) (eV per atom) = 0.59
- E above lowest polymorph (kJ/mol of formula units) = 155.3
- size of the total moment (μB/f.u.) = 0.000

```
KBe2Br
1.0
-5.495 1.174 4.398
-5.889 -3.768 1.426
7.090 -0.087 -0.795
Br Be K
1 2 1
Cartesian
-2.245 -2.576 1.772
-5.692 -1.297 2.912
0.000 0.000 0.000
-2.048 -0.105 3.257
```


(25)
Material: KBe2Br
Method: DFT, PBE
State: relaxed

Summary:
- E_form (uncorrected) (eV per atom) = 0.81
- E above lowest polymorph (kJ/mol of formula units) = 241.5
- size of the total moment (μB/f.u.) = 0.000

```
KBe2Br
1.0
3.522 -0.002 0.000
-1.746 3.059 0.000
0.000 0.000 9.064
Be K Br
2 1 1
Cartesian
0.000 0.000 4.072
0.000 0.000 0.461
0.888 1.528 6.798
0.888 1.528 2.266
```


(26)
Material: KBeBr2
Method: DFT, PBE
State: relaxed

Summary:
- E_form (uncorrected) (eV per atom) = -0.47
- E above lowest polymorph (kJ/mol of formula units) = 81.5
- size of the total moment (μB/f.u.) = 0.936

```
KBeBr2
1.0
6.092 0.042 -0.004
1.659 5.861 0.004
-2.704 -4.490 3.105
Br K Be
2 1 1
Cartesian
3.207 2.443 0.000
0.668 0.509 0.000
3.632 -0.748 1.551
1.415 2.162 1.554
```


(27)
Material: KBe2Br
Method: DFT, PBE
State: relaxed

Summary:
- E_form (uncorrected) (eV per atom) = 0.19
- E above lowest polymorph (kJ/mol of formula units) = 0.0
- size of the total moment (μB/f.u.) = 0.000

```
KBe2Br
1.0
-2.823 -1.379 -1.215
0.428 -2.700 2.070
-3.740 2.085 6.321
K Be Br
1 2 1
Cartesian
-3.792 -1.683 6.051
-0.293 -1.629 2.531
-1.781 -1.091 0.708
-1.495 -0.598 4.152
```


(28)
Material: KBeBr2
Method: DFT, PBE
State: relaxed

Summary:
- E_form (uncorrected) (eV per atom) = -0.26
- E above lowest polymorph (kJ/mol of formula units) = 164.0
- size of the total moment (μB/f.u.) = 0.963

```
KBeBr2
1.0
0.000 3.783 3.783
3.783 0.000 3.783
3.783 3.783 0.000
Be Br K
1 2 1
Cartesian
0.000 0.000 0.000
1.892 1.892 1.892
5.675 5.675 5.675
3.783 3.783 3.783
```


Results for total energy: -0.11680; -0.13573; -0.17753; -0.12403; -0.08668; -0.07176; -0.05929; -0.09625; -0.10013; -0.09056; -0.08658; -0.08314; -0.12007; -0.11822; -0.09990; -0.09515; -0.08644; -0.08961; -0.09517; -0.11673; -0.04884; -0.09443; -0.06400; -0.07225; -0.06405; -0.09237; -0.08704; -0.08452 (in hartree per atom, following the order of the records).